<a>
4
Lattice="3.007 0.000 0.000 0.000 3.007 0.000 0.000 0.000 13.234" Properties=species:S:1:pos:R:3 comment="K2SrRe (PBEsol, relaxed)" sg=P4/mmm m_tot_mub_per_cell=0.02 pbc="T T T"
Re 1.503 1.503 0.000
K 0.000 0.000 2.670
K 0.000 0.000 10.564
Sr 1.503 1.503 6.617


<b>
4
Lattice="-2.618 -3.457 -3.833 0.460 -5.748 0.501 -4.590 -3.142 1.599" Properties=species:S:1:pos:R:3 comment="K2SrRe (PBEsol, relaxed)" sg=Fm-3m m_tot_mub_per_cell=2.80 pbc="T T T"
Sr -3.374 -6.174 -0.867
Re 0.000 0.000 0.000
K -1.687 -3.087 -0.433
K -5.061 -9.260 -1.300


So which one is most stable? That would be <a>, about 141 meV/atom below the next structure.


<a>
4
Lattice="2.746 0.000 0.000 1.373 2.378 0.000 1.373 0.793 11.830" Properties=species:S:1:pos:R:3 comment="K2ReTc (PBEsol, relaxed)" sg=R-3m m_tot_mub_per_cell=0.00 pbc="T T T"
Re 2.746 1.586 5.915
K 1.373 0.793 2.950
K 4.120 2.378 8.880
Tc 0.000 0.000 0.000


<b>
4
Lattice="-0.454 -0.814 -3.033 0.642 -3.024 0.715 -10.397 -1.730 2.021" Properties=species:S:1:pos:R:3 comment="K2ReTc (PBEsol, relaxed)" sg=P4mm m_tot_mub_per_cell=0.00 pbc="T T T"
K -3.322 -2.487 -0.495
K -9.583 -1.594 1.862
Re -5.960 -0.992 1.158
Tc -6.939 -3.089 0.208


So which one is most stable? That would be <b>, about 565 meV/atom below the next structure.


<a>
4
Lattice="-0.090 -2.233 2.228 2.573 -1.722 0.614 3.797 5.651 8.054" Properties=species:S:1:pos:R:3 comment="KTl2Re (PBEsol, relaxed)" sg=R-3m m_tot_mub_per_cell=0.00 pbc="T T T"
Tl 4.801 1.485 8.389
Tl 1.479 0.210 2.506
K 3.140 0.848 5.448
Re 0.000 0.000 0.000


<b>
4
Lattice="-2.726 0.756 -1.120 -1.091 -2.718 0.824 -2.543 3.643 8.652" Properties=species:S:1:pos:R:3 comment="KTl2Re (PBEsol, relaxed)" sg=P4/mmm m_tot_mub_per_cell=0.41 pbc="T T T"
Tl -0.547 0.783 1.860
Tl -1.997 2.860 6.791
Re -1.909 -0.981 -0.148
K -3.180 0.841 4.178


So which one is most stable? That would be <b>, about 61 meV/atom below the next structure.


<a>
4
Lattice="2.549 0.000 0.000 0.000 5.468 -0.059 0.000 -2.366 4.929" Properties=species:S:1:pos:R:3 comment="KRe2W (PBEsol, relaxed)" sg=Cmmm m_tot_mub_per_cell=0.00 pbc="T T T"
Re 0.000 2.734 -0.030
Re 0.000 -1.183 2.465
W 1.274 0.000 0.000
K 1.274 1.551 2.435


<b>
4
Lattice="4.530 0.000 0.000 2.265 3.924 0.000 2.265 1.308 3.699" Properties=species:S:1:pos:R:3 comment="KRe2W (PBEsol, relaxed)" sg=Fm-3m m_tot_mub_per_cell=0.00 pbc="T T T"
K 0.000 0.000 0.000
Re 6.796 3.924 2.774
Re 2.265 1.308 0.925
W 4.530 2.616 1.850


So which one is most stable? That would be <a>, about 23 meV/atom below the next structure.


<a>
4
Lattice="-0.455 -2.410 -1.419 2.070 -1.133 -1.569 3.851 -6.744 7.388" Properties=species:S:1:pos:R:3 comment="KReW2 (PBEsol, relaxed)" sg=R-3m m_tot_mub_per_cell=0.00 pbc="T T T"
K 2.732 -5.143 2.200
W 4.249 -7.967 3.680
W 1.216 -2.319 0.720
Re 0.000 0.000 0.000


<b>
4
Lattice="-0.349 -1.936 1.767 4.064 1.662 2.625 -3.066 3.096 2.787" Properties=species:S:1:pos:R:3 comment="KReW2 (PBEsol, relaxed)" sg=Pmmm m_tot_mub_per_cell=0.00 pbc="T T T"
K 1.857 -0.137 2.196
W 0.000 0.000 0.000
W -1.708 0.580 2.277
Re 0.499 2.379 2.706


So which one is most stable? That would be <a>, about 867 meV/atom below the next structure.


<a>
4
Lattice="3.191 0.000 0.000 0.000 5.033 0.000 -1.596 -2.517 5.086" Properties=species:S:1:pos:R:3 comment="KZrRe2 (PBEsol, relaxed)" sg=Imm2 m_tot_mub_per_cell=0.00 pbc="T T T"
K 0.000 2.517 2.740
Re 0.000 0.000 0.359
Re 1.596 0.000 2.121
Zr 0.000 0.000 4.953


<b>
4
Lattice="4.717 0.000 0.000 2.358 4.085 0.000 2.358 1.362 3.851" Properties=species:S:1:pos:R:3 comment="KZrRe2 (PBEsol, relaxed)" sg=Fm-3m m_tot_mub_per_cell=0.00 pbc="T T T"
Re 2.358 1.362 0.963
Re 7.075 4.085 2.888
Zr 4.717 2.723 1.926
K 0.000 0.000 0.000


<c>
4
Lattice="-2.277 0.238 1.767 2.305 -1.022 3.108 3.028 7.967 0.375" Properties=species:S:1:pos:R:3 comment="KZrRe2 (PBEsol, relaxed)" sg=Pm m_tot_mub_per_cell=0.00 pbc="T T T"
Zr 0.280 3.258 0.864
K 2.914 5.843 2.338
Re 0.118 0.838 0.188
Re 0.120 1.345 2.930


<d>
4
Lattice="-3.447 -1.617 -0.180 1.611 -3.451 0.156 0.623 2.618 4.919" Properties=species:S:1:pos:R:3 comment="KZrRe2 (PBEsol, relaxed)" sg=I4/mmm m_tot_mub_per_cell=0.00 pbc="T T T"
Zr -0.918 -2.534 -0.012
Re 0.658 -1.683 2.532
Re -1.871 -0.766 2.364
K 0.000 0.000 0.000


So which one is most stable? That would be <c>, about 428 meV/atom below the next structure.


<a>
5
Lattice="-1.692 -3.044 -2.731 -2.464 -1.600 3.311 -3.264 2.786 -1.083" Properties=species:S:1:pos:R:3 comment="KRh3S (PBEsol, relaxed)" sg=Pm-3m m_tot_mub_per_cell=0.00 pbc="T T T"
Rh -1.232 -0.800 1.655
Rh -1.632 1.393 -0.542
Rh -0.846 -1.522 -1.365
K -3.710 -0.929 -0.252
S 0.000 0.000 0.000


<b>
5
Lattice="4.605 0.000 0.000 0.000 4.605 0.000 0.000 0.000 4.605" Properties=species:S:1:pos:R:3 comment="KRh3S (PBEsol, relaxed)" sg=Pm-3m m_tot_mub_per_cell=3.23 pbc="T T T"
Rh 0.000 0.000 2.302
Rh 2.302 0.000 0.000
Rh 0.000 2.302 0.000
K 0.000 0.000 0.000
S 2.302 2.302 2.302


So which one is most stable? That would be <a>, about 2346 meV/atom below the next structure.


<a>
3
Lattice="4.388 0.000 0.000 2.194 3.801 0.000 2.194 1.267 3.583" Properties=species:S:1:pos:R:3 comment="KTaRh (PBEsol, relaxed)" sg=F-43m m_tot_mub_per_cell=0.00 pbc="T T T"
Ta 4.388 2.534 1.792
K 6.583 3.801 2.687
Rh 0.000 0.000 0.000


<b>
3
Lattice="4.523 0.000 0.000 2.261 3.917 0.000 2.261 1.306 3.693" Properties=species:S:1:pos:R:3 comment="KTaRh (PBEsol, relaxed)" sg=F-43m m_tot_mub_per_cell=0.26 pbc="T T T"
Ta 0.000 0.000 0.000
Rh 6.784 3.917 2.770
K 4.523 2.611 1.846


<c>
3
Lattice="-1.166 -1.099 -2.488 0.696 -1.811 2.234 -7.261 0.912 3.000" Properties=species:S:1:pos:R:3 comment="KTaRh (PBEsol, relaxed)" sg=P3m1 m_tot_mub_per_cell=0.00 pbc="T T T"
Rh -4.537 -0.995 2.566
Ta -3.348 -0.985 0.244
K -7.107 0.893 2.936


So which one is most stable? That would be <c>, about 803 meV/atom below the next structure.


<a>
4
Lattice="2.795 0.000 -0.025 0.000 3.868 0.000 -0.165 0.000 10.061" Properties=species:S:1:pos:R:3 comment="K2TcRh (PBEsol, relaxed)" sg=Pm m_tot_mub_per_cell=0.00 pbc="T T T"
Tc 1.326 1.934 3.357
K 1.372 1.934 6.621
K 2.707 0.000 0.844
Rh -0.062 0.000 4.220


<b>
4
Lattice="2.792 0.000 0.000 1.396 2.418 0.000 1.396 0.806 11.313" Properties=species:S:1:pos:R:3 comment="K2TcRh (PBEsol, relaxed)" sg=R-3m m_tot_mub_per_cell=0.01 pbc="T T T"
K 1.396 0.806 2.940
K 4.188 2.418 8.373
Tc 0.000 0.000 0.000
Rh 2.792 1.612 5.656


So which one is most stable? That would be <a>, about 516 meV/atom below the next structure.


<a>
4
Lattice="5.390 0.000 0.000 2.695 4.668 0.000 2.695 1.556 4.401" Properties=species:S:1:pos:R:3 comment="K2TlRh (PBEsol, relaxed)" sg=Fm-3m m_tot_mub_per_cell=0.20 pbc="T T T"
K 2.695 1.556 1.100
K 8.085 4.668 3.301
Rh 0.000 0.000 0.000
Tl 5.390 3.112 2.201


<b>
4
Lattice="3.738 0.000 0.000 0.000 3.738 0.000 0.000 0.000 9.833" Properties=species:S:1:pos:R:3 comment="K2TlRh (PBEsol, relaxed)" sg=P4mm m_tot_mub_per_cell=0.00 pbc="T T T"
Rh 0.000 0.000 5.961
K 1.869 1.869 3.202
K 0.000 0.000 9.047
Tl 1.869 1.869 6.372


<c>
4
Lattice="4.091 0.000 0.000 0.000 5.604 0.000 -2.046 -2.802 5.234" Properties=species:S:1:pos:R:3 comment="K2TlRh (PBEsol, relaxed)" sg=Imm2 m_tot_mub_per_cell=0.00 pbc="T T T"
K 2.046 2.802 5.037
K 2.046 0.000 2.938
Tl 0.000 2.802 2.055
Rh 2.046 2.802 0.437


So which one is most stable? That would be <b>, about 122 meV/atom below the next structure.


<a>
4
Lattice="-1.820 -1.545 1.268 -1.335 -1.276 -3.472 5.314 -6.096 0.197" Properties=species:S:1:pos:R:3 comment="KRhW2 (PBEsol, relaxed)" sg=Pmmm m_tot_mub_per_cell=0.00 pbc="T T T"
W 3.466 -3.976 0.129
W 1.848 -2.120 0.069
K -1.578 -1.411 -1.102
Rh 1.079 -4.459 -1.003


<b>
4
Lattice="2.703 0.000 0.000 0.000 2.703 0.000 0.000 0.000 10.140" Properties=species:S:1:pos:R:3 comment="KRhW2 (PBEsol, relaxed)" sg=P4/mmm m_tot_mub_per_cell=0.00 pbc="T T T"
Rh 1.351 1.351 5.070
W 0.000 0.000 3.121
W 0.000 0.000 7.019
K 1.351 1.351 0.000


<c>
4
Lattice="-4.346 0.214 1.140 -2.509 -3.734 0.010 -1.393 -1.764 3.897" Properties=species:S:1:pos:R:3 comment="KRhW2 (PBEsol, relaxed)" sg=Fm-3m m_tot_mub_per_cell=0.00 pbc="T T T"
W -2.062 -1.321 1.261
W -6.186 -3.963 3.784
K 0.000 0.000 0.000
Rh -4.124 -2.642 2.523


So which one is most stable? That would be <b>, about 63 meV/atom below the next structure.


<a>
2
Lattice="-0.079 -2.405 -1.354 2.331 -1.112 -0.976 1.473 -3.940 4.099" Properties=species:S:1:pos:R:3 comment="KRu (PBEsol, relaxed)" sg=R-3m m_tot_mub_per_cell=0.19 pbc="T T T"
K 0.000 0.000 0.000
Ru 1.863 -3.728 0.884


<b>
4
Lattice="-0.806 0.871 2.568 -2.290 -3.381 -1.131 6.871 -5.705 4.090" Properties=species:S:1:pos:R:3 comment="KRu (PBEsol, relaxed)" sg=C2/m m_tot_mub_per_cell=0.00 pbc="T T T"
Ru 5.467 -5.801 5.241
Ru -1.692 -2.415 0.287
K 1.300 -2.295 1.186
K 2.476 -5.921 4.342


So which one is most stable? That would be <b>, about 529 meV/atom below the next structure.